[1]
## ZrZnP2 (PBEsol)

Data for ZrZnP2 after structural relaxation.

Values from the calculation:
energy relative to the elements: -0.53 eV/atom
relative energy among the computed polymorphs: 0.000 eV/atom
crystal system: trigonal
magnetization: 0.00 μB/f.u.

Cell: 3.677 3.677 6.338 Å, 73.14 73.14 60.00°
Positions (direct):
Zn (0.500, 0.500, 0.500)
Zr (0.000, 0.000, 0.000)
P (0.247, 0.247, 0.260)
P (0.753, 0.753, 0.740)

---

[2]
## ZrZnP4 (PBEsol)

Data for ZrZnP4 after structural relaxation.

Values from the calculation:
energy relative to the elements: 0.07 eV/atom
crystal system: cubic
magnetization: 0.00 μB/f.u.

Cell: 5.035 5.035 5.035 Å, 60.00 60.00 60.00°
Positions (direct):
P (0.875, 0.375, 0.375)
P (0.375, 0.375, 0.375)
P (0.375, 0.875, 0.375)
P (0.375, 0.375, 0.875)
Zr (0.000, 0.000, 0.000)
Zn (0.750, 0.750, 0.750)

---

[3]
## ZrZnP2 (PBEsol)

Data for ZrZnP2 after structural relaxation.

Values from the calculation:
energy relative to the elements: -0.52 eV/atom
relative energy among the computed polymorphs: 0.007 eV/atom
crystal system: tetragonal
magnetization: 0.00 μB/f.u.

Cell: 3.671 3.671 5.326 Å, 110.16 110.16 90.00°
Positions (direct):
Zn (0.500, 0.500, 0.000)
P (0.000, 0.000, 0.000)
P (0.750, 0.250, 0.500)
Zr (0.250, 0.750, 0.500)